# TlZn2As, relaxed, DFT PBE
# E_form: 0.05 eV per atom
# total magnetization: 0.0 μB/f.u.
data_TlZn2As
_cell_length_a 4.0546
_cell_length_b 4.0546
_cell_length_c 18.7408
_cell_angle_alpha 90.00
_cell_angle_beta 90.00
_cell_angle_gamma 120.00
_symmetry_space_group_name_H-M 'R -3 m'
_symmetry_Int_Tables_number 166
_symmetry_space_group_name_Hall '-R 3 2"'
loop_
_atom_site_label
_atom_site_fract_x
_atom_site_fract_y
_atom_site_fract_z
_atom_site_occupancy
Tl1 0.0000 0.0000 0.0000 1
Zn1 0.0000 0.0000 0.2277 1
As1 0.0000 0.0000 0.5000 1